PrYPt2 | PBE | optimized geometry

E_form	-4.7	eV per formula unit
density	10.9	g/cm³
E above lowest polymorph	0	kJ/mol of formula units
DFT total energy	-7.009	eV per atom

a b c (Å): 4.543 3.876 10.774
angles (deg): 90.00 90.00 90.00
Space group Amm2 (No. 38)
Asymmetric unit:
Pr: 0.000 0.000 0.000 [2 per cell]
Y: 0.500 0.000 0.725 [2 per cell]
Pt: 0.000 0.000 0.273 [2 per cell]
Pt: 0.500 0.000 0.447 [2 per cell]

RbSiAu3 | PBE | optimized geometry

density	7.8	g/cm³
E above lowest polymorph	113	kJ/mol of formula units
DFT total energy	-3.286	eV per atom

a b c (Å): 13.372 13.372 13.372
angles (deg): 90.00 90.00 90.00
Space group Fd-3m (No. 227, origin choice 2)
Asymmetric unit:
Rb: 0.000 0.000 0.000 [16 per cell]
Si: 0.000 0.000 0.500 [16 per cell]
Au: 0.051 0.375 0.875 [48 per cell]

Ac2TeP | PBE | optimized geometry

density	8.4	g/cm³
E above lowest polymorph	121	kJ/mol of formula units
DFT total energy	-5.446	eV per atom

a b c (Å): 3.896 3.896 7.943
angles (deg): 90.00 90.00 90.00
Space group P4/mmm (No. 123)
Asymmetric unit:
Ac: 0.000 0.000 0.226 [2 per cell]
Te: 0.500 0.500 0.500 [1 per cell]
P: 0.500 0.500 0.000 [1 per cell]

PtRh2W | PBE | optimized geometry

E_form	-0.8	eV per formula unit
density	16.3	g/cm³
E above lowest polymorph	15	kJ/mol of formula units
DFT total energy	-8.629	eV per atom

a b c (Å): 4.833 4.406 11.217
angles (deg): 90.00 90.00 90.00
Space group Pnma (No. 62)
Asymmetric unit:
Pt: 0.078 0.250 0.068 [4 per cell]
Rh: 0.080 0.250 0.563 [4 per cell]
Rh: 0.091 0.250 0.809 [4 per cell]
W: 0.073 0.250 0.319 [4 per cell]

KY2Pb | PBE | optimized geometry

E_form	0.3	eV per formula unit
density	5.1	g/cm³
DFT total energy	-4.366	eV per atom

a b c (Å): 3.679 5.348 7.284
angles (deg): 90.00 103.40 90.00
Space group P2/m (No. 10)
Asymmetric unit:
K: 0.000 0.000 0.000 [1 per cell]
Y: 0.317 0.500 0.704 [2 per cell]
Pb: 0.500 0.000 0.500 [1 per cell]

CeScInAg | PBE | optimized geometry

E_form	-1.0	eV per formula unit
density	6.8	g/cm³
DFT total energy	-4.702	eV per atom

a b c (Å): 7.350 7.350 7.350
angles (deg): 90.00 90.00 90.00
Space group F-43m (No. 216)
Asymmetric unit:
Ce: 0.000 0.000 0.000 [4 per cell]
Sc: 0.000 0.000 0.500 [4 per cell]
In: 0.250 0.250 0.250 [4 per cell]
Ag: 0.250 0.250 0.750 [4 per cell]

Nd4DyY6 | PBE | optimized geometry

E_form	1.3	eV per formula unit
density	5.7	g/cm³
E above lowest polymorph	0	kJ/mol of formula units
DFT total energy	-5.564	eV per atom

a b c (Å): 5.796 9.751 26.049
angles (deg): 90.00 90.00 90.00
Space group Cmcm (No. 63)
Asymmetric unit:
Nd: 0.000 0.030 0.122 [8 per cell]
Nd: 0.000 0.344 0.045 [8 per cell]
Dy: 0.000 0.316 0.750 [4 per cell]
Y: 0.000 0.000 0.000 [4 per cell]
Y: 0.000 0.017 0.250 [4 per cell]
Y: 0.000 0.310 0.606 [8 per cell]
Y: 0.000 0.355 0.183 [8 per cell]

CsBi2F7 | PBE | optimized geometry

density	5.6	g/cm³
DFT total energy	-4.749	eV per atom

a b c (Å): 7.342 12.026 4.586
angles (deg): 90.00 90.00 90.00
Space group Cmmm (No. 65)
Asymmetric unit:
Cs: 0.000 0.000 0.000 [2 per cell]
Bi: 0.000 0.308 0.500 [4 per cell]
F: 0.000 0.294 0.000 [4 per cell]
F: 0.000 0.500 0.500 [2 per cell]
F: 0.187 0.147 0.500 [8 per cell]

Please write out number 3 again, unchanged.
Ac2TeP | PBE | optimized geometry

density	8.4	g/cm³
E above lowest polymorph	121	kJ/mol of formula units
DFT total energy	-5.446	eV per atom

a b c (Å): 3.896 3.896 7.943
angles (deg): 90.00 90.00 90.00
Space group P4/mmm (No. 123)
Asymmetric unit:
Ac: 0.000 0.000 0.226 [2 per cell]
Te: 0.500 0.500 0.500 [1 per cell]
P: 0.500 0.500 0.000 [1 per cell]

- The lowest density belongs to which entry?
  KY2Pb

Copy entry 1 word for word.
PrYPt2 | PBE | optimized geometry

E_form	-4.7	eV per formula unit
density	10.9	g/cm³
E above lowest polymorph	0	kJ/mol of formula units
DFT total energy	-7.009	eV per atom

a b c (Å): 4.543 3.876 10.774
angles (deg): 90.00 90.00 90.00
Space group Amm2 (No. 38)
Asymmetric unit:
Pr: 0.000 0.000 0.000 [2 per cell]
Y: 0.500 0.000 0.725 [2 per cell]
Pt: 0.000 0.000 0.273 [2 per cell]
Pt: 0.500 0.000 0.447 [2 per cell]

Repeat the third record exactly.
Ac2TeP | PBE | optimized geometry

density	8.4	g/cm³
E above lowest polymorph	121	kJ/mol of formula units
DFT total energy	-5.446	eV per atom

a b c (Å): 3.896 3.896 7.943
angles (deg): 90.00 90.00 90.00
Space group P4/mmm (No. 123)
Asymmetric unit:
Ac: 0.000 0.000 0.226 [2 per cell]
Te: 0.500 0.500 0.500 [1 per cell]
P: 0.500 0.500 0.000 [1 per cell]